42
Lattice="-7.243 4.293 2.730 -7.942 -3.618 -1.479 -4.579 -3.239 6.848" Properties=species:S:1:pos:R:3 comment="Na4MgFeP3O12 (PBE with a Hubbard U, relaxed)" dft_energy_ev_per_atom=-6.450 dos_ef_per_ev_atom=0.000 magnetic_moment_mub_per_atom=0.241 pbc="T T T"
Na -12.399 0.796 3.176
Na -19.731 -2.559 8.086
Na -10.429 -1.115 7.379
Na -11.603 -4.146 3.554
Na -9.214 -1.400 0.730
Na -9.849 -1.277 4.036
Na -8.048 1.532 4.502
Na -7.286 -3.316 4.829
O -5.572 -2.270 3.381
O -8.994 -3.935 0.660
O -9.278 -4.830 3.052
O -9.093 2.770 2.539
O -13.751 -3.399 4.909
O -13.038 -1.539 7.238
O -10.683 -5.239 5.546
O -14.241 -0.383 4.668
O -12.112 -1.731 3.272
O -10.786 1.310 7.367
O -10.744 1.180 1.376
O -11.538 -2.634 1.031
O -9.053 -3.645 6.772
O -8.224 -0.013 7.147
O -6.004 0.817 3.303
O -13.057 -0.549 1.236
O -8.732 0.259 2.522
O -8.300 -2.568 2.681
O -11.033 -2.726 5.588
O -11.487 -0.034 5.333
O -6.787 -0.929 0.842
O -10.558 2.239 4.963
O -6.663 -2.045 6.944
O -7.611 -0.887 4.896
Mg -6.961 -0.903 2.853
Mg -16.843 -2.184 6.903
P -10.546 -3.968 6.418
P -12.692 -1.932 1.826
P -8.402 -4.003 2.113
P -9.278 1.453 1.704
P -7.103 -0.664 6.340
P -11.429 1.404 5.963
Fe -12.825 -1.663 5.256
Fe -2.943 -0.382 1.206